Entry from Alexandria via LeMat-Bulk: crystalline Pm2CoH5 at its relaxed geometry (PBE).

Its density of states at the Fermi level is 7.896 states/eV/cell. The calculation puts the total energy at -4.645 eV per atom.

The space group is I4mm (No. 107) and the conventional cell measures 4.979, 4.979 and 7.199 Å, with angles of 90.00, 90.00 and 90.00 degrees. The asymmetric unit holds Pm at (0.000, 0.500, 0.000), Co at (0.000, 0.000, 0.258), H at (0.000, 0.000, 0.488) and H at (0.230, 0.230, 0.241).

***

Entry from Alexandria via LeMat-Bulk: crystalline Dy2NiSb at its relaxed geometry (PBE).

Its density of states at the Fermi level is 6.774 states/eV/cell. The calculation puts the uncorrected formation energy at -2.9 eV/f.u.

The space group is P2_1/m (No. 11) and the conventional cell measures 6.045, 4.093 and 8.250 Å, with angles of 90.00, 110.65 and 90.00 degrees. The asymmetric unit holds Dy at (0.176, 0.250, 0.399), Dy at (0.254, 0.750, 0.050), Ni at (0.133, 0.250, 0.791) and Sb at (0.373, 0.750, 0.708).

***

Entry from Alexandria via LeMat-Bulk: crystalline Mg3Au at its relaxed geometry (PBE).

The energy of formation is -0.29 eV/atom. Its density of states at the Fermi level is 5.032 states/eV/cell. As for the energy above the most stable polymorph in this dataset: 0.121 eV per atom.

The space group is Pm-3n (No. 223) and the conventional cell measures 5.406, 5.406 and 5.406 Å, with angles of 90.00, 90.00 and 90.00 degrees. The asymmetric unit holds Mg at (0.000, 0.250, 0.500) and Au at (0.000, 0.000, 0.000).